Below is an optimized crystal structure of MnNb2Tc, with properties calculated at the PBE level.

final energy: -10.124 eV/atom
offset from the most stable computed form: 9 meV per atom
space group: P4/mmm
E_form: -0.206 eV/atom
total magnetization: 0.00 μB/f.u.

The structure in POSCAR format:
```
MnNb2Tc
1.0
-1.668 -1.205 2.381
3.463 -2.521 1.150
1.468 3.230 2.662
Nb Tc Mn
2 1 1
Direct
0.000 0.500 0.000
0.000 0.000 0.500
0.500 0.500 0.500
0.500 0.000 0.000
```